DFT (GGA-PBE) results for an optimized crystal structure of TbGd2In3PdAu2.

## Properties
VASP energy: -4.558 eV/atom

Cell and atoms, written as CIF:
```
data_TbGd2In3PdAu2
_cell_length_a 3.9513
_cell_length_b 7.7962
_cell_length_c 7.7962
_cell_angle_alpha 119.96
_cell_angle_beta 90.00
_cell_angle_gamma 90.00
_space_group_name_H-M_alt 'P 1'
_space_group_IT_number 1
_space_group_name_Hall 'P 1'
loop_
_atom_site_label
_atom_site_type_symbol
_atom_site_fract_x
_atom_site_fract_y
_atom_site_fract_z
In1 In 0.5000 0.2535 0.2535
In2 In 0.5000 0.9996 0.7464
In3 In 0.5000 0.7464 0.9996
Gd1 Gd 0.0000 0.0001 0.4069
Gd2 Gd 0.0000 0.4069 0.0001
Au1 Au 0.5000 0.6663 0.3344
Au2 Au 0.5000 0.3344 0.6663
Tb1 Tb 0.0000 0.5936 0.5936
Pd1 Pd 0.0000 0.9993 0.9993
```

DFT (GGA-PBE) results for an optimized crystal structure of GdY2Mg3AgPd2.

## Properties
VASP energy: -4.491 eV/atom

Cell and atoms, written as CIF:
```
data_GdY2Mg3AgPd2
_cell_length_a 4.0580
_cell_length_b 7.5387
_cell_length_c 7.5387
_cell_angle_alpha 119.81
_cell_angle_beta 90.00
_cell_angle_gamma 90.00
_space_group_name_H-M_alt 'P 1'
_space_group_IT_number 1
_space_group_name_Hall 'P 1'
loop_
_atom_site_label
_atom_site_type_symbol
_atom_site_fract_x
_atom_site_fract_y
_atom_site_fract_z
Ag1 Ag 0.0000 0.0001 0.0001
Pd1 Pd 0.5000 0.3336 0.6665
Pd2 Pd 0.5000 0.6665 0.3336
Mg1 Mg 0.5000 0.2499 0.2499
Mg2 Mg 0.5000 0.0012 0.7491
Mg3 Mg 0.5000 0.7491 0.0012
Gd1 Gd 0.0000 0.5809 0.5809
Y1 Y 0.0000 0.4184 0.0002
Y2 Y 0.0000 0.0002 0.4184
```

DFT (GGA-PBE) results for an optimized crystal structure of YSnAuS3.

## Properties
ΔE to the lowest computed polymorph: 39 meV/atom

Cell and atoms, written as CIF:
```
data_YSnAuS3
_cell_length_a 14.6006
_cell_length_b 4.0999
_cell_length_c 10.8279
_cell_angle_alpha 90.00
_cell_angle_beta 90.00
_cell_angle_gamma 90.00
_space_group_name_H-M_alt 'P 1'
_space_group_IT_number 1
_space_group_name_Hall 'P 1'
loop_
_atom_site_label
_atom_site_type_symbol
_atom_site_fract_x
_atom_site_fract_y
_atom_site_fract_z
Au1 Au 0.3867 0.7500 0.5344
Au2 Au 0.8867 0.7500 0.9656
Au3 Au 0.6133 0.2500 0.4656
Au4 Au 0.1133 0.2500 0.0344
Y1 Y 0.4866 0.7500 0.1575
Y2 Y 0.5134 0.2500 0.8425
Y3 Y 0.0134 0.2500 0.6575
Y4 Y 0.9866 0.7500 0.3425
S1 S 0.1574 0.2500 0.8257
S2 S 0.3426 0.7500 0.3257
S3 S 0.0926 0.2500 0.2459
S4 S 0.9074 0.7500 0.7541
S5 S 0.8977 0.2500 0.4622
S6 S 0.6023 0.7500 0.9622
S7 S 0.5926 0.2500 0.2542
S8 S 0.4074 0.7500 0.7458
S9 S 0.3977 0.2500 0.0378
S10 S 0.1023 0.7500 0.5378
S11 S 0.6574 0.2500 0.6743
S12 S 0.8426 0.7500 0.1743
Sn1 Sn 0.2649 0.7500 0.9162
Sn2 Sn 0.7351 0.2500 0.0838
Sn3 Sn 0.7649 0.7500 0.5838
Sn4 Sn 0.2351 0.2500 0.4162
```

DFT (GGA-PBE) results for an optimized crystal structure of KTm2In3.

## Properties
VASP energy: -3.271 eV/atom

Cell and atoms, written as CIF:
```
data_KTm2In3
_cell_length_a 8.9315
_cell_length_b 8.9315
_cell_length_c 3.5898
_cell_angle_alpha 90.00
_cell_angle_beta 90.00
_cell_angle_gamma 143.87
_space_group_name_H-M_alt 'P 1'
_space_group_IT_number 1
_space_group_name_Hall 'P 1'
loop_
_atom_site_label
_atom_site_type_symbol
_atom_site_fract_x
_atom_site_fract_y
_atom_site_fract_z
K1 K 0.0000 0.0000 0.0000
In1 In 0.8205 0.1795 0.5000
In2 In 0.1795 0.8205 0.5000
In3 In 0.5000 0.5000 0.5000
Tm1 Tm 0.6589 0.3411 0.0000
Tm2 Tm 0.3411 0.6589 0.0000
```

DFT (GGA-PBE) results for an optimized crystal structure of TmAuSeO.

## Properties
ΔE to the lowest computed polymorph: 103 meV/atom

Cell and atoms, written as CIF:
```
data_TmAuSeO
_cell_length_a 3.8939
_cell_length_b 3.8939
_cell_length_c 9.4619
_cell_angle_alpha 90.00
_cell_angle_beta 90.00
_cell_angle_gamma 90.00
_space_group_name_H-M_alt 'P 1'
_space_group_IT_number 1
_space_group_name_Hall 'P 1'
loop_
_atom_site_label
_atom_site_type_symbol
_atom_site_fract_x
_atom_site_fract_y
_atom_site_fract_z
Au1 Au 0.2500 0.7500 0.5000
Au2 Au 0.7500 0.2500 0.5000
Se1 Se 0.7500 0.7500 0.2790
Se2 Se 0.2500 0.2500 0.7210
O1 O 0.2500 0.7500 0.0000
O2 O 0.7500 0.2500 0.0000
Tm1 Tm 0.2500 0.2500 0.1140
Tm2 Tm 0.7500 0.7500 0.8860
```

DFT (GGA-PBE) results for an optimized crystal structure of BeCoSnMo.

## Properties
ΔE to the lowest computed polymorph: 87 meV/atom

Cell and atoms, written as CIF:
```
data_BeCoSnMo
_cell_length_a 4.3186
_cell_length_b 4.3186
_cell_length_c 4.3186
_cell_angle_alpha 60.00
_cell_angle_beta 60.00
_cell_angle_gamma 60.00
_space_group_name_H-M_alt 'P 1'
_space_group_IT_number 1
_space_group_name_Hall 'P 1'
loop_
_atom_site_label
_atom_site_type_symbol
_atom_site_fract_x
_atom_site_fract_y
_atom_site_fract_z
Co1 Co 0.7500 0.7500 0.7500
Sn1 Sn 0.0000 0.0000 0.0000
Be1 Be 0.5000 0.5000 0.5000
Mo1 Mo 0.2500 0.2500 0.2500
```

DFT (GGA-PBE) results for an optimized crystal structure of PrTlZnS3.

## Properties
ΔE to the lowest computed polymorph: 21 meV/atom

Cell and atoms, written as CIF:
```
data_PrTlZnS3
_cell_length_a 14.4092
_cell_length_b 4.0983
_cell_length_c 11.1539
_cell_angle_alpha 90.00
_cell_angle_beta 90.00
_cell_angle_gamma 90.00
_space_group_name_H-M_alt 'P 1'
_space_group_IT_number 1
_space_group_name_Hall 'P 1'
loop_
_atom_site_label
_atom_site_type_symbol
_atom_site_fract_x
_atom_site_fract_y
_atom_site_fract_z
Tl1 Tl 0.7601 0.2500 0.4611
Tl2 Tl 0.2601 0.2500 0.0389
Tl3 Tl 0.2399 0.7500 0.5389
Tl4 Tl 0.7399 0.7500 0.9611
Zn1 Zn 0.0188 0.2500 0.5959
Zn2 Zn 0.5189 0.2500 0.9041
Zn3 Zn 0.4812 0.7500 0.0959
Zn4 Zn 0.9812 0.7500 0.4041
S1 S 0.0733 0.2500 0.3929
S2 S 0.5975 0.7500 0.4244
S3 S 0.9025 0.2500 0.9244
S4 S 0.3630 0.7500 0.2387
S5 S 0.8630 0.7500 0.2613
S6 S 0.6370 0.2500 0.7613
S7 S 0.9267 0.7500 0.6071
S8 S 0.4267 0.7500 0.8929
S9 S 0.4025 0.2500 0.5756
S10 S 0.5733 0.2500 0.1071
S11 S 0.1370 0.2500 0.7386
S12 S 0.0975 0.7500 0.0756
Pr1 Pr 0.9750 0.2500 0.1589
Pr2 Pr 0.5250 0.7500 0.6589
Pr3 Pr 0.4750 0.2500 0.3411
Pr4 Pr 0.0250 0.7500 0.8411
```

DFT (GGA-PBE) results for an optimized crystal structure of NbZnNO.

## Properties
ΔE to the lowest computed polymorph: 189 meV/atom

Cell and atoms, written as CIF:
```
data_NbZnNO
_cell_length_a 3.0419
_cell_length_b 6.0103
_cell_length_c 5.5653
_cell_angle_alpha 90.00
_cell_angle_beta 90.00
_cell_angle_gamma 90.00
_space_group_name_H-M_alt 'P 1'
_space_group_IT_number 1
_space_group_name_Hall 'P 1'
loop_
_atom_site_label
_atom_site_type_symbol
_atom_site_fract_x
_atom_site_fract_y
_atom_site_fract_z
O1 O 0.5000 0.1268 0.8405
O2 O 0.5000 0.8732 0.3405
Zn1 Zn 0.5000 0.1921 0.4796
Zn2 Zn 0.5000 0.8079 0.9796
N1 N 0.0000 0.3945 0.3953
N2 N 0.0000 0.6055 0.8953
Nb1 Nb 0.0000 0.6836 0.5385
Nb2 Nb 0.0000 0.3164 0.0385
```

DFT (GGA-PBE) results for an optimized crystal structure of TePt.

## Properties
VASP energy: -4.770 eV/atom

Cell and atoms, written as CIF:
```
data_TePt
_cell_length_a 4.0727
_cell_length_b 4.0727
_cell_length_c 4.0727
_cell_angle_alpha 55.39
_cell_angle_beta 55.39
_cell_angle_gamma 55.39
_space_group_name_H-M_alt 'P 1'
_space_group_IT_number 1
_space_group_name_Hall 'P 1'
loop_
_atom_site_label
_atom_site_type_symbol
_atom_site_fract_x
_atom_site_fract_y
_atom_site_fract_z
Te1 Te 0.5000 0.5000 0.5000
Pt1 Pt 0.0000 0.0000 0.0000
```

DFT (GGA-PBE) results for an optimized crystal structure of TbDyZn2Sn2.

## Properties
ΔE to the lowest computed polymorph: 81 meV/atom

Cell and atoms, written as CIF:
```
data_TbDyZn2Sn2
_cell_length_a 8.1210
_cell_length_b 8.1210
_cell_length_c 8.1210
_cell_angle_alpha 149.17
_cell_angle_beta 149.17
_cell_angle_gamma 44.16
_space_group_name_H-M_alt 'P 1'
_space_group_IT_number 1
_space_group_name_Hall 'P 1'
loop_
_atom_site_label
_atom_site_type_symbol
_atom_site_fract_x
_atom_site_fract_y
_atom_site_fract_z
Zn1 Zn 0.9999 0.4999 0.5000
Zn2 Zn 0.4999 0.9999 0.5000
Sn1 Sn 0.8664 0.8664 0.0000
Sn2 Sn 0.1337 0.1337 0.0000
Tb1 Tb 0.6578 0.6578 0.0000
Dy1 Dy 0.3426 0.3426 0.0000
```

DFT (GGA-PBE) results for an optimized crystal structure of TaAgSn.

## Properties
VASP energy: -5.570 eV/atom

Cell and atoms, written as CIF:
```
data_TaAgSn
_cell_length_a 4.6273
_cell_length_b 4.6273
_cell_length_c 4.6273
_cell_angle_alpha 60.00
_cell_angle_beta 60.00
_cell_angle_gamma 60.00
_space_group_name_H-M_alt 'P 1'
_space_group_IT_number 1
_space_group_name_Hall 'P 1'
loop_
_atom_site_label
_atom_site_type_symbol
_atom_site_fract_x
_atom_site_fract_y
_atom_site_fract_z
Ag1 Ag 0.2500 0.2500 0.2500
Ta1 Ta 0.0000 0.0000 0.0000
Sn1 Sn 0.7500 0.7500 0.7500
```

DFT (GGA-PBE) results for an optimized crystal structure of Rb2PdO3.

## Properties
VASP energy: -4.473 eV/atom

Cell and atoms, written as CIF:
```
data_Rb2PdO3
_cell_length_a 6.3084
_cell_length_b 6.3084
_cell_length_c 5.8948
_cell_angle_alpha 90.00
_cell_angle_beta 90.00
_cell_angle_gamma 69.20
_space_group_name_H-M_alt 'P 1'
_space_group_IT_number 1
_space_group_name_Hall 'P 1'
loop_
_atom_site_label
_atom_site_type_symbol
_atom_site_fract_x
_atom_site_fract_y
_atom_site_fract_z
O1 O 0.6814 0.3186 0.7500
O2 O 0.1292 0.1292 0.5000
O3 O 0.8708 0.8708 0.0000
O4 O 0.1292 0.1292 0.0000
O5 O 0.8708 0.8708 0.5000
O6 O 0.3186 0.6814 0.2500
Rb1 Rb 0.4722 0.1966 0.2500
Rb2 Rb 0.1966 0.4722 0.7500
Rb3 Rb 0.5278 0.8034 0.7500
Rb4 Rb 0.8034 0.5278 0.2500
Pd1 Pd 0.9593 0.0407 0.7500
Pd2 Pd 0.0407 0.9593 0.2500
```

DFT (GGA-PBE) results for an optimized crystal structure of TbCuGeSe3.

## Properties
ΔE to the lowest computed polymorph: 16 meV/atom

Cell and atoms, written as CIF:
```
data_TbCuGeSe3
_cell_length_a 11.2520
_cell_length_b 4.1116
_cell_length_c 11.5967
_cell_angle_alpha 90.00
_cell_angle_beta 90.00
_cell_angle_gamma 90.00
_space_group_name_H-M_alt 'P 1'
_space_group_IT_number 1
_space_group_name_Hall 'P 1'
loop_
_atom_site_label
_atom_site_type_symbol
_atom_site_fract_x
_atom_site_fract_y
_atom_site_fract_z
Ge1 Ge 0.1663 0.0000 0.0051
Ge2 Ge 0.8337 0.5000 0.9949
Ge3 Ge 0.3337 0.5000 0.5051
Ge4 Ge 0.6663 0.0000 0.4949
Cu1 Cu 0.2552 0.0000 0.2920
Cu2 Cu 0.2448 0.5000 0.7920
Cu3 Cu 0.7448 0.5000 0.7080
Cu4 Cu 0.7552 0.0000 0.2080
Tb1 Tb 0.5172 0.0000 0.8158
Tb2 Tb 0.4828 0.5000 0.1842
Tb3 Tb 0.0172 0.0000 0.6842
Tb4 Tb 0.9828 0.5000 0.3158
Se1 Se 0.1025 0.0000 0.4368
Se2 Se 0.2193 0.5000 0.1776
Se3 Se 0.0430 0.5000 0.8737
Se4 Se 0.2807 0.0000 0.6776
Se5 Se 0.4570 0.0000 0.3737
Se6 Se 0.3975 0.5000 0.9368
Se7 Se 0.6025 0.0000 0.0632
Se8 Se 0.5430 0.5000 0.6263
Se9 Se 0.7807 0.0000 0.8224
Se10 Se 0.8975 0.5000 0.5632
Se11 Se 0.9570 0.0000 0.1263
Se12 Se 0.7193 0.5000 0.3224
```

DFT (GGA-PBE) results for an optimized crystal structure of TbSbPbSe3.

## Properties
VASP energy: -4.645 eV/atom

Cell and atoms, written as CIF:
```
data_TbSbPbSe3
_cell_length_a 7.6581
_cell_length_b 7.6581
_cell_length_c 11.6381
_cell_angle_alpha 90.00
_cell_angle_beta 90.00
_cell_angle_gamma 149.22
_space_group_name_H-M_alt 'P 1'
_space_group_IT_number 1
_space_group_name_Hall 'P 1'
loop_
_atom_site_label
_atom_site_type_symbol
_atom_site_fract_x
_atom_site_fract_y
_atom_site_fract_z
Se1 Se 0.4888 0.5112 0.7500
Se2 Se 0.8634 0.1366 0.0073
Se3 Se 0.1366 0.8634 0.9927
Se4 Se 0.1366 0.8634 0.5073
Se5 Se 0.5112 0.4888 0.2500
Se6 Se 0.8634 0.1366 0.4927
Sb1 Sb 0.1476 0.8524 0.7500
Sb2 Sb 0.8524 0.1476 0.2500
Pb1 Pb 0.1709 0.8291 0.2500
Pb2 Pb 0.8291 0.1709 0.7500
Tb1 Tb 0.5000 0.5000 0.0000
Tb2 Tb 0.5000 0.5000 0.5000
```

DFT (GGA-PBE) results for an optimized crystal structure of YErSc2Sb2.

## Properties
VASP energy: -6.153 eV/atom

Cell and atoms, written as CIF:
```
data_YErSc2Sb2
_cell_length_a 8.6813
_cell_length_b 8.6813
_cell_length_c 8.6813
_cell_angle_alpha 151.10
_cell_angle_beta 151.10
_cell_angle_gamma 41.33
_space_group_name_H-M_alt 'P 1'
_space_group_IT_number 1
_space_group_name_Hall 'P 1'
loop_
_atom_site_label
_atom_site_type_symbol
_atom_site_fract_x
_atom_site_fract_y
_atom_site_fract_z
Sc1 Sc 0.0004 0.5004 0.5000
Sc2 Sc 0.5004 0.0004 0.5000
Sb1 Sb 0.1316 0.1316 0.0000
Sb2 Sb 0.8685 0.8685 0.0000
Er1 Er 0.6758 0.6758 0.0000
Y1 Y 0.3233 0.3233 0.0000
```

DFT (GGA-PBE) results for an optimized crystal structure of PmReIr.

## Properties
ΔE to the lowest computed polymorph: 0 meV/atom
calculated formation energy: 1.61 eV per formula unit

Cell and atoms, written as CIF:
```
data_PmReIr
_cell_length_a 4.5601
_cell_length_b 4.5601
_cell_length_c 4.5601
_cell_angle_alpha 60.00
_cell_angle_beta 60.00
_cell_angle_gamma 60.00
_space_group_name_H-M_alt 'P 1'
_space_group_IT_number 1
_space_group_name_Hall 'P 1'
loop_
_atom_site_label
_atom_site_type_symbol
_atom_site_fract_x
_atom_site_fract_y
_atom_site_fract_z
Ir1 Ir 0.0000 0.0000 0.0000
Re1 Re 0.2500 0.2500 0.2500
Pm1 Pm 0.7500 0.7500 0.7500
```

DFT (GGA-PBE) results for an optimized crystal structure of HfGe2Pt.

## Properties
VASP energy: -6.567 eV/atom

Cell and atoms, written as CIF:
```
data_HfGe2Pt
_cell_length_a 4.6807
_cell_length_b 4.6807
_cell_length_c 4.6807
_cell_angle_alpha 60.00
_cell_angle_beta 60.00
_cell_angle_gamma 60.00
_space_group_name_H-M_alt 'P 1'
_space_group_IT_number 1
_space_group_name_Hall 'P 1'
loop_
_atom_site_label
_atom_site_type_symbol
_atom_site_fract_x
_atom_site_fract_y
_atom_site_fract_z
Ge1 Ge 0.7500 0.7500 0.7500
Ge2 Ge 0.0000 0.0000 0.0000
Pt1 Pt 0.5000 0.5000 0.5000
Hf1 Hf 0.2500 0.2500 0.2500
```

DFT (GGA-PBE) results for an optimized crystal structure of LiZrCuPb.

## Properties
ΔE to the lowest computed polymorph: 0 meV/atom

Cell and atoms, written as CIF:
```
data_LiZrCuPb
_cell_length_a 4.6593
_cell_length_b 4.6593
_cell_length_c 4.6593
_cell_angle_alpha 60.00
_cell_angle_beta 60.00
_cell_angle_gamma 60.00
_space_group_name_H-M_alt 'P 1'
_space_group_IT_number 1
_space_group_name_Hall 'P 1'
loop_
_atom_site_label
_atom_site_type_symbol
_atom_site_fract_x
_atom_site_fract_y
_atom_site_fract_z
Zr1 Zr 0.5000 0.5000 0.5000
Li1 Li 0.2500 0.2500 0.2500
Cu1 Cu 0.7500 0.7500 0.7500
Pb1 Pb 0.0000 0.0000 0.0000
```

DFT (GGA-PBE) results for an optimized crystal structure of BaHoPO.

## Properties
ΔE to the lowest computed polymorph: 187 meV/atom

Cell and atoms, written as CIF:
```
data_BaHoPO
_cell_length_a 4.0033
_cell_length_b 6.9073
_cell_length_c 7.4335
_cell_angle_alpha 90.00
_cell_angle_beta 90.00
_cell_angle_gamma 90.00
_space_group_name_H-M_alt 'P 1'
_space_group_IT_number 1
_space_group_name_Hall 'P 1'
loop_
_atom_site_label
_atom_site_type_symbol
_atom_site_fract_x
_atom_site_fract_y
_atom_site_fract_z
Ba1 Ba 0.0000 0.0602 0.5955
Ba2 Ba 0.0000 0.9398 0.0955
O1 O 0.0000 0.2731 0.8886
O2 O 0.0000 0.7269 0.3886
Ho1 Ho 0.5000 0.6118 0.4591
Ho2 Ho 0.5000 0.3882 0.9591
P1 P 0.5000 0.2539 0.3108
P2 P 0.5000 0.7461 0.8108
```

DFT (GGA-PBE) results for an optimized crystal structure of Cu3AsSe2S2.

## Properties
ΔE to the lowest computed polymorph: 0 meV/atom

Cell and atoms, written as CIF:
```
data_Cu3AsSe2S2
_cell_length_a 6.6430
_cell_length_b 6.6430
_cell_length_c 5.4671
_cell_angle_alpha 113.96
_cell_angle_beta 113.96
_cell_angle_gamma 48.50
_space_group_name_H-M_alt 'P 1'
_space_group_IT_number 1
_space_group_name_Hall 'P 1'
loop_
_atom_site_label
_atom_site_type_symbol
_atom_site_fract_x
_atom_site_fract_y
_atom_site_fract_z
As1 As 0.0174 0.9826 0.0000
Cu1 Cu 0.4780 0.5220 0.5000
Cu2 Cu 0.7501 0.7502 0.2253
Cu3 Cu 0.2498 0.2499 0.7747
Se1 Se 0.8776 0.3821 0.3819
Se2 Se 0.6179 0.1224 0.6181
S1 S 0.1273 0.6182 0.1268
S2 S 0.3818 0.8727 0.8732
```